Material: Sc2ReNiAg
Method: DFT, GGA-PBE
State: optimized geometry

abc: 4.8256 4.4386 4.8256
angles: 90.00 90.00 90.00
Closest atoms and distances in Å follow each position.
Element x y z (fractional)
Ag  0.5000  0.5000  0.5000  8 Sc 3.28, 4 Re 3.41
Re  0.0000  0.5000  0.0000  2 Ni 2.22
Sc  0.0000  0.0000  0.5000  2 Ni 2.41
Sc  0.5000  0.0000  0.0000  2 Ni 2.41
Ni  0.0000  0.0000  0.0000  2 Re 2.22, 4 Sc 2.41

Computed properties:
Energy of formation from the pure elements, meV/atom: 467
Volume, Å³/f.u.: 103.4
Space group: P4/mmm (123)
D(E_F), states/eV per cell: 5.6